(1)
A relaxed structure of Ba2Ga6CoCu, computed with PBE-GGA.

Cell and atoms, written as POSCAR:
```
Ba2Ga6CoCu
1.0
4.818 -4.827 0.000
4.818 4.827 0.000
-4.788 0.000 4.829
Ba Ga Co Cu
2 6 1 1
direct
0.250 0.750 0.000
0.750 0.250 0.000
0.245 0.245 0.500
0.245 0.245 0.990
0.245 0.755 0.500
0.755 0.245 0.500
0.755 0.755 0.010
0.755 0.755 0.500
0.000 0.000 0.500
0.500 0.500 0.500
```

Values from the calculation:
space-group type	C2/m, No. 12
E_form	-218	meV/atom
magnetization	0.0	Bohr magnetons per cell
density of states at the Fermi level	7.00	states/eV/f.u.

(2)
A relaxed structure of AgICl, computed with PBE-GGA.

Cell and atoms, written as POSCAR:
```
AgICl
1.0
4.549 0.000 0.000
-1.557 4.522 0.000
-1.059 -2.236 9.885
Ag I Cl
2 2 2
direct
0.000 0.000 0.000
0.197 0.344 0.654
0.216 0.592 0.419
0.312 0.585 0.935
0.588 0.037 0.625
0.840 0.169 0.234
```

Values from the calculation:
space-group type	P1, No. 1
polymorph energy (0 for the lowest one)	0.0031	eV per atom
magnetization	0.0	Bohr magnetons per cell
density of states at the Fermi level	0.00	states/eV/f.u.
formation energy without anion corrections	-0.26	eV/atom

(3)
A relaxed structure of YHo2As, computed with PBE-GGA.

Cell and atoms, written as POSCAR:
```
YHo2As
1.0
3.837 0.000 0.000
-1.919 3.323 0.000
0.000 0.000 28.283
Y Ho As
3 6 3
direct
0.000 0.000 0.000
0.333 0.667 0.667
0.667 0.333 0.333
0.000 0.000 0.228
0.000 0.000 0.772
0.333 0.667 0.439
0.333 0.667 0.894
0.667 0.333 0.106
0.667 0.333 0.561
0.000 0.000 0.500
0.333 0.667 0.167
0.667 0.333 0.833
```

Values from the calculation:
space-group type	R-3m, No. 166
E_form	-593	meV/atom
magnetization	2.5	Bohr magnetons per cell
density of states at the Fermi level	4.99	states/eV/f.u.

(4)
A relaxed structure of P4I5Cl2, computed with PBE-GGA.

Cell and atoms, written as POSCAR:
```
P4I5Cl2
1.0
4.050 0.000 0.000
-0.836 7.330 0.000
-1.040 -2.020 15.813
P I Cl
4 5 2
direct
0.199 0.066 0.281
0.298 0.994 0.659
0.702 0.006 0.341
0.801 0.934 0.719
0.000 0.500 0.000
0.115 0.828 0.156
0.215 0.738 0.543
0.785 0.262 0.457
0.885 0.172 0.844
0.242 0.322 0.244
0.758 0.678 0.756
```

Values from the calculation:
space-group type	P-1, No. 2
magnetization	0.0	Bohr magnetons per cell
density of states at the Fermi level	2.80	states/eV/f.u.
formation energy without anion corrections	-0.06	eV/atom

- Look up the density of states at the Fermi level of the first one.
  7.00 states/eV/f.u.